# 1
First-principles (meta-GGA SCAN) data for a crystal of Sr2CaSn2 relaxed with PBEsol, as listed in the Alexandria database.

Structure (extended XYZ):
```
10
Lattice="8.3569 0.0000 0.0000 0.0000 8.3569 0.0000 0.0000 0.0000 4.8510" Properties=species:S:1:pos:R:3 pbc="T T T"
Sr 1.4172 2.7613 0.0000
Sr 2.7613 6.9397 0.0000
Sr 5.5956 1.4172 0.0000
Sr 6.9397 5.5956 0.0000
Ca 0.0000 0.0000 2.4255
Ca 4.1784 4.1784 2.4255
Sn 1.0479 5.2264 2.4255
Sn 3.1305 1.0479 2.4255
Sn 5.2264 7.3089 2.4255
Sn 7.3089 3.1305 2.4255
```

Computed properties:
Formation enthalpy at 0 K   -698 meV/atom
Crystal system   tetragonal

---

# 2
First-principles (meta-GGA SCAN) data for a crystal of SnSb4S7 relaxed with PBEsol, as listed in the Alexandria database.

Structure (extended XYZ):
```
24
Lattice="10.9178 0.0000 0.0000 0.0000 3.8576 0.0000 -3.5184 0.0000 13.4508" Properties=species:S:1:pos:R:3 pbc="T T T"
Sn 0.2447 0.9644 3.7189
Sn 7.1547 2.8932 9.7319
Sb -0.1621 2.8932 7.3272
Sb -1.5921 2.8932 13.2123
Sb 1.5795 0.9644 11.7237
Sb 3.5026 2.8932 5.1920
Sb 3.8968 0.9644 8.2589
Sb 5.8199 2.8932 1.7271
Sb 8.9915 0.9644 0.2386
Sb 7.5615 0.9644 6.1237
S -1.9898 0.9644 8.2301
S -2.8545 0.9644 12.0649
S -0.1509 2.8932 11.0979
S 1.3192 0.9644 6.1909
S 2.0986 2.8932 3.1841
S 4.0837 0.9644 0.5514
S 2.4797 2.8932 9.1455
S 4.9197 0.9644 4.3053
S 3.3157 2.8932 12.8995
S 5.3008 0.9644 10.2667
S 6.0802 2.8932 7.2599
S 7.5503 0.9644 2.3530
S 10.2539 2.8932 1.3860
S 9.3892 2.8932 5.2207
```

Computed properties:
Formation energy without anion corrections   -0.27 eV per atom
Crystal system   monoclinic

---

# 3
First-principles (meta-GGA SCAN) data for a crystal of CaTe2Pt relaxed with PBEsol, as listed in the Alexandria database.

Structure (extended XYZ):
```
4
Lattice="4.9133 0.0000 0.0000 0.0000 4.9133 0.0000 0.0000 0.0000 3.6835" Properties=species:S:1:pos:R:3 pbc="T T T"
Ca 0.0000 0.0000 0.0000
Te 0.0000 2.4567 1.8418
Te 2.4567 0.0000 1.8418
Pt 2.4567 2.4567 0.0000
```

Computed properties:
Formation energy without anion corrections   -0.58 eV per atom
Crystal system   tetragonal

---

# 4
First-principles (meta-GGA SCAN) data for a crystal of CaIrSe2 relaxed with PBEsol, as listed in the Alexandria database.

Structure (extended XYZ):
```
12
Lattice="4.0223 0.0000 0.0000 -2.0111 3.4834 0.0000 0.0000 0.0000 17.2119" Properties=species:S:1:pos:R:3 pbc="T T T"
Ca 0.0000 0.0000 0.0000
Ca 0.0000 2.3223 11.4746
Ca 2.0111 1.1611 5.7373
Ir 0.0000 0.0000 8.6059
Ir 0.0000 2.3223 2.8687
Ir 2.0111 1.1611 14.3432
Se 0.0000 0.0000 3.9721
Se 0.0000 0.0000 13.2398
Se 0.0000 2.3223 7.5025
Se 0.0000 2.3223 15.4467
Se 2.0111 1.1611 1.7652
Se 2.0111 1.1611 9.7094
```

Computed properties:
Formation energy without anion corrections   -0.78 eV per atom
Crystal system   trigonal

---

# 5
First-principles (meta-GGA SCAN) data for a crystal of TlAsPb2 relaxed with PBEsol, as listed in the Alexandria database.

Structure (extended XYZ):
```
12
Lattice="3.9935 0.0000 0.0000 -1.9967 3.4584 0.0000 0.0000 0.0000 25.0149" Properties=species:S:1:pos:R:3 pbc="T T T"
Tl 0.0000 0.0000 0.0000
Tl 0.0000 2.3056 16.6766
Tl 1.9967 1.1528 8.3383
As 0.0000 0.0000 12.5075
As 0.0000 2.3056 4.1692
As 1.9967 1.1528 20.8457
Pb 0.0000 0.0000 5.9207
Pb 0.0000 0.0000 19.0942
Pb 0.0000 2.3056 10.7559
Pb 0.0000 2.3056 22.5973
Pb 1.9967 1.1528 2.4176
Pb 1.9967 1.1528 14.2590
```

Computed properties:
Formation enthalpy at 0 K   35 meV/atom
Crystal system   trigonal

---

# 6
First-principles (meta-GGA SCAN) data for a crystal of TaTeCl3 relaxed with PBEsol, as listed in the Alexandria database.

Structure (extended XYZ):
```
5
Lattice="4.8428 0.0000 0.0000 0.0000 4.8428 0.0000 0.0000 0.0000 4.8428" Properties=species:S:1:pos:R:3 pbc="T T T"
Ta 0.0000 0.0000 0.0000
Te 2.4214 2.4214 2.4214
Cl 0.0000 0.0000 2.4214
Cl 0.0000 2.4214 0.0000
Cl 2.4214 0.0000 0.0000
```

Computed properties:
Formation energy without anion corrections   -0.21 eV per atom
Crystal system   cubic

---

# 7
First-principles (meta-GGA SCAN) data for a crystal of AsP2PtCl relaxed with PBEsol, as listed in the Alexandria database.

Structure (extended XYZ):
```
5
Lattice="4.6900 0.0000 0.0000 0.0000 4.6900 0.0000 0.0000 0.0000 4.4431" Properties=species:S:1:pos:R:3 pbc="T T T"
As 0.0000 0.0000 0.0000
P 0.0000 2.3450 0.0000
P 2.3450 0.0000 0.0000
Pt 2.3450 2.3450 2.2216
Cl 0.0000 0.0000 2.2216
```

Computed properties:
Formation energy without anion corrections   1.20 eV per atom
Crystal system   tetragonal

---

# 8
First-principles (meta-GGA SCAN) data for a crystal of ScTaZn2Tc relaxed with PBEsol, as listed in the Alexandria database.

Structure (extended XYZ):
```
5
Lattice="4.6664 0.0000 0.0000 0.0000 4.6664 0.0000 0.0000 0.0000 4.6623" Properties=species:S:1:pos:R:3 pbc="T T T"
Sc 0.0000 0.0000 0.0000
Ta 0.0000 0.0000 2.3311
Zn 0.0000 2.3332 0.0000
Zn 2.3332 0.0000 0.0000
Tc 2.3332 2.3332 2.3311
```

Computed properties:
Formation enthalpy at 0 K   1829 meV/atom
Crystal system   tetragonal

---

Number 1: density 4.44 g cm⁻³. Number 2: density 4.87 g cm⁻³. Number 3: density 9.16 g cm⁻³. Number 4: density 8.06 g cm⁻³. Number 5: density 10.00 g cm⁻³. Number 6: density 6.07 g cm⁻³. Number 7: density 6.24 g cm⁻³. Number 8: density 7.44 g cm⁻³.